[1]
Below is a relaxed MnCuRu2 crystal, with properties calculated at the PBE-GGA level.

abc: 2.6430 2.6430 8.7049
angles: 90.00 90.00 115.68
With the nearest neighbours (Å) after each atom.
Fractional positions:
1 Mn 0.0000 0.0000 0.0000  2 Cu 2.53, 2 Ru 2.53, 6 Mn 2.64-2.81
2 Cu 0.5000 0.5000 0.7583  2 Mn 2.53, 2 Ru 2.64, 6 Cu 2.64-2.81
3 Ru 0.0000 0.0000 0.5016  2 Cu 2.64, 8 Ru 2.64-2.81
4 Ru 0.5000 0.5000 0.2419  2 Mn 2.53, 8 Ru 2.64-2.81

Results
energy of formation from the pure elements	0.377	eV/atom
calculated volume	13.700	Å³ per atom
calculated density	9.72	g/cm3
DOS at the Fermi energy	4.8	states/eV/f.u.
energy	-7.577	eV per atom

=====

[2]
Below is a relaxed Re5Br crystal, with properties calculated at the PBE-GGA level.

abc: 5.3993 5.3993 6.7020
angles: 108.66 108.66 30.80
With the nearest neighbours (Å) after each atom.
Fractional positions:
1 Re 0.0000 0.0000 0.0000  8 Re 2.55-2.80
2 Re 0.0461 0.0461 0.6497  6 Re 2.55-2.83
3 Re 0.3209 0.3209 0.7067  9 Re 2.64-2.88, 2 Br 2.67
4 Re 0.4351 0.4351 0.2904  1 Br 2.55, 6 Re 2.68-2.80
5 Re 0.7289 0.7289 0.9913  1 Br 2.65, 11 Re 2.80-2.87
6 Br 0.6912 0.6912 0.3630  4 Re 2.55-2.67

Results
relative energy among the computed polymorphs	0.0	meV/atom
raw formation energy	606	meV per atom
calculated volume	15.730	Å³ per atom
calculated density	17.79	g/cm3
DOS at the Fermi energy	3.9	states/eV/f.u.
energy	-10.046	eV per atom

=====

[3]
Below is a relaxed NaLiSi3 crystal, with properties calculated at the PBE-GGA level.

abc: 4.5478 4.5478 4.5478
angles: 90.00 90.00 90.00
With the nearest neighbours (Å) after each atom.
Fractional positions:
1 Na 0.0000 0.0000 0.0000  12 Si 3.22
2 Li 0.5000 0.5000 0.5000  6 Si 2.27
3 Si 0.0000 0.5000 0.5000  2 Li 2.27
4 Si 0.5000 0.0000 0.5000  2 Li 2.27
5 Si 0.5000 0.5000 0.0000  2 Li 2.27

Results
relative energy among the computed polymorphs	0.0	meV/atom
raw formation energy	638	meV per atom
calculated volume	18.812	Å³ per atom
calculated density	2.02	g/cm3
DOS at the Fermi energy	2.3	states/eV/f.u.
energy	-3.262	eV per atom

=====

[4]
Below is a relaxed ScCo2Sn2 crystal, with properties calculated at the PBE-GGA level.

abc: 5.6542 5.6542 5.6542
angles: 134.11 134.11 66.91
With the nearest neighbours (Å) after each atom.
Fractional positions:
1 Sc 0.0000 0.0000 0.0000  8 Sn 3.23, 8 Co 3.30
2 Co 0.3859 0.3859 0.0000  1 Co 2.15
3 Co 0.6141 0.6141 0.0000  1 Co 2.15
4 Sn 0.2500 0.7500 0.5000  4 Co 2.55
5 Sn 0.7500 0.2500 0.5000  4 Co 2.55

Results
relative energy among the computed polymorphs	237.1	meV/atom
energy of formation from the pure elements	-0.078	eV/atom
calculated volume	18.333	Å³ per atom
calculated density	7.25	g/cm3
DOS at the Fermi energy	4.4	states/eV/f.u.
energy	-5.788	eV per atom

=====

[5]
Below is a relaxed PtAuO crystal, with properties calculated at the PBE-GGA level.

abc: 6.5292 6.1512 2.9896
angles: 83.53 69.41 27.06
With the nearest neighbours (Å) after each atom.
Fractional positions:
1 Pt 0.0000 0.0000 0.0000  2 O 2.01
2 Au 0.6957 0.6957 0.3043  2 O 2.66, 2 Pt 2.75, 2 Au 2.88
3 O 0.3831 0.3831 0.6169  2 Pt 2.01

Results
raw formation energy	244	meV per atom
calculated volume	15.038	Å³ per atom
calculated density	15.02	g/cm3
DOS at the Fermi energy	3.7	states/eV/f.u.
energy	-4.515	eV per atom

=====

[6]
Below is a relaxed Li2Ca crystal, with properties calculated at the PBE-GGA level.

abc: 6.1734 6.1734 6.1734
angles: 60.00 60.00 60.00
With the nearest neighbours (Å) after each atom.
Fractional positions:
1 Li 0.0000 0.0000 0.0000  6 Li 3.09
2 Li 0.0000 0.0000 0.5000  6 Li 3.09
3 Li 0.0000 0.5000 0.0000  6 Li 3.09
4 Li 0.5000 0.0000 0.0000  6 Li 3.09
5 Ca 0.3750 0.3750 0.3750  12 Li 3.62, 4 Ca 3.78
6 Ca 0.6250 0.6250 0.6250  12 Li 3.62, 4 Ca 3.78

Results
relative energy among the computed polymorphs	2.3	meV/atom
energy of formation from the pure elements	-0.009	eV/atom
calculated volume	27.728	Å³ per atom
calculated density	1.08	g/cm3
DOS at the Fermi energy	2.7	states/eV/f.u.
energy	-1.952	eV per atom

=====

[7]
Below is a relaxed Nb2BS6 crystal, with properties calculated at the PBE-GGA level.

abc: 5.6664 5.6664 10.3007
angles: 90.00 90.00 90.00
With the nearest neighbours (Å) after each atom.
Fractional positions:
1 Nb 0.0000 0.0000 0.1515  6 S 2.38-2.55
2 Nb 0.0000 0.0000 0.8485  6 S 2.38-2.55
3 Nb 0.5000 0.5000 0.3485  6 S 2.38-2.55
4 Nb 0.5000 0.5000 0.6515  6 S 2.38-2.55
5 B 0.0000 0.0000 0.5000  6 S 2.17-2.21
6 B 0.5000 0.5000 0.0000  6 S 2.17-2.21
7 S 0.1823 0.1823 0.3447  1 B 2.17
8 S 0.1823 0.1823 0.6553  1 B 2.17
9 S 0.2245 0.2245 0.0000  1 B 2.21, 2 Nb 2.38
10 S 0.2755 0.7245 0.5000  1 B 2.21, 2 Nb 2.38
11 S 0.3177 0.6823 0.1553  1 B 2.17
12 S 0.3177 0.6823 0.8447  1 B 2.17
13 S 0.6823 0.3177 0.1553  1 B 2.17
14 S 0.6823 0.3177 0.8447  1 B 2.17
15 S 0.7245 0.2755 0.5000  1 B 2.21, 2 Nb 2.38
16 S 0.7755 0.7755 0.0000  1 B 2.21, 2 Nb 2.38
17 S 0.8177 0.8177 0.3447  1 B 2.17
18 S 0.8177 0.8177 0.6553  1 B 2.17

Results
raw formation energy	-381	meV per atom
calculated volume	18.374	Å³ per atom
calculated density	3.91	g/cm3
DOS at the Fermi energy	4.5	states/eV/f.u.
energy	-6.112	eV per atom

=====

[8]
Below is a relaxed ZnCd crystal, with properties calculated at the PBE-GGA level.

abc: 7.6468 7.6468 7.6468
angles: 90.00 90.00 90.00
With the nearest neighbours (Å) after each atom.
Fractional positions:
1 Zn 0.0000 0.2500 0.5000  4 Cd 2.70
2 Zn 0.0000 0.7500 0.5000  4 Cd 2.70
3 Zn 0.2500 0.5000 0.0000  4 Cd 2.70
4 Zn 0.5000 0.0000 0.2500  4 Cd 2.70
5 Zn 0.5000 0.0000 0.7500  4 Cd 2.70
6 Zn 0.7500 0.5000 0.0000  4 Cd 2.70
7 Cd 0.0000 0.5000 0.2500  4 Zn 2.70
8 Cd 0.0000 0.5000 0.7500  4 Zn 2.70
9 Cd 0.2500 0.0000 0.5000  4 Zn 2.70
10 Cd 0.5000 0.2500 0.0000  4 Zn 2.70
11 Cd 0.5000 0.7500 0.0000  4 Zn 2.70
12 Cd 0.7500 0.0000 0.5000  4 Zn 2.70

Results
energy of formation from the pure elements	0.473	eV/atom
calculated volume	37.262	Å³ per atom
calculated density	3.96	g/cm3
DOS at the Fermi energy	0.8	states/eV/f.u.
energy	-0.622	eV per atom

=====

Among the records above, which one has the highest calculated volume?
ZnCd

=====

Which formula does entry 1 have?
MnCuRu2

=====

What is the DOS at the Fermi energy in the third record?
2.3 states/eV/f.u.